The following is a PBE calculation of a relaxed structure of CaMg4Tl7, from Alexandria via LeMat-Bulk.

Excess energy over the best structure of this formula in the dataset ... 68.1 meV/atom
Calculated formation energy ... -8 meV per atom
Crystal system ... monoclinic

The structure in CIF format:
```
data_CaMg4Tl7
_chemical_formula_sum 'Ca2 Mg8 Tl14'
_cell_length_a 14.474
_cell_length_b 5.980
_cell_length_c 9.412
_cell_angle_alpha 90.00
_cell_angle_beta 123.22
_cell_angle_gamma 90.00
_symmetry_space_group_name_H-M 'C 1 2/m 1'
_symmetry_Int_Tables_number 12
_symmetry_space_group_name_Hall '-C 2y'
loop_
_atom_site_label
_atom_site_fract_x
_atom_site_fract_y
_atom_site_fract_z
Ca1 0.000 0.000 0.000
Mg1 0.028 0.500 0.700
Mg2 0.196 0.500 0.339
Tl1 0.000 0.500 0.000
Tl2 0.064 0.000 0.401
Tl3 0.212 0.000 0.893
Tl4 0.222 0.500 0.681
```